Material: La5Pm4Pr3
Method: DFT, PBE
State: optimized geometry

abc: 18.6856 5.9577 9.0670
angles: 90.00 118.97 90.00
Last column: nearest neighbours and their distance in Å.
Space group C2/m (No. 12)
One atom of each set of equivalent atoms:
La (0.0000, 0.0000, 0.0000) x2  4 Pr 2.98-3.04, 2 Pm 3.03
La (0.1043, 0.5000, 0.4250) x4  2 Pr 3.37-3.69, 4 Pm 3.55-3.71
La (0.1642, 0.5000, 0.8939) x4  2 Pr 3.45-3.63, 3 Pm 3.69-3.73, 1 La 3.84
Pm (0.0314, 0.0000, 0.7020) x4  1 La 3.03, 1 Pm 3.26
Pm (0.1993, 0.0000, 0.6451) x4  1 Pm 3.42, 3 Pr 3.54-3.72, 3 La 3.55-3.69
Pr (0.0000, 0.5000, 0.0000) x2  2 La 2.98
Pr (0.1845, 0.0000, 0.2210) x4  1 La 3.04

Results
Formation enthalpy at 0 K   209 meV/atom
DFT total energy   -4.6223 eV per atom